This record from Alexandria describes P2HWCl after structural relaxation. The functional is PBE.

Values from the calculation:
Crystal system = tetragonal
VASP energy = -5.107 eV/atom

```
data_P2HWCl
_chemical_formula_sum 'P2 H1 W1 Cl1'
_space_group_name_H-M_alt 'P 4/m m m'
_space_group_IT_number 123
_space_group_name_Hall '-P 4 2'
_cell_length_a 4.663
_cell_length_b 4.663
_cell_length_c 5.013
_cell_angle_alpha 90.00
_cell_angle_beta 90.00
_cell_angle_gamma 90.00
loop_
_atom_site_label
_atom_site_fract_x
_atom_site_fract_y
_atom_site_fract_z
_atom_site_occupancy
P1 0.000 0.500 0.000 1
H1 0.000 0.000 0.500 1
W1 0.500 0.500 0.000 1
Cl1 0.500 0.500 0.500 1
```